Compound: Co2SbCl
Source: Alexandria via LeMat-Bulk
Functional: meta-GGA SCAN
Structure: PBEsol geometry

Calculated values
formation energy without anion corrections = -14.2 meV/atom
offset from the most stable computed form = 0 meV/atom

Lattice parameters (Å, degrees): 3.1618 3.1618 6.9975 90.00 90.00 90.00
With the nearest neighbours (Å) after each atom.
Sites, in units of the cell vectors:
1 Sb 0.0000 0.0000 0.4106  5 Co 2.56-2.73
2 Cl 0.5000 0.5000 0.8563  5 Co 2.32-2.60
3 Co 0.0000 0.0000 0.0453  4 Co 2.45, 1 Sb 2.56, 4 Cl 2.60
4 Co 0.5000 0.5000 0.1878  1 Cl 2.32, 4 Co 2.45